Material: Mn2CuHg
Method: DFT, PBE-GGA
State: relaxed

Structure (POSCAR):
```
Mn2CuHg
1.0
3.989 0.000 0.000
0.000 3.989 0.000
0.000 0.000 3.914
Mn Cu Hg
2 1 1
Cartesian
0.000 1.994 0.000
1.994 0.000 0.000
0.000 0.000 1.957
1.994 1.994 1.957
```

ΔH_f (0 K)	0.3113	eV/atom



Material: BaRu4Br
Method: DFT, PBE-GGA
State: relaxed

Structure (POSCAR):
```
BaRu4Br
1.0
0.000 3.906 3.906
3.906 0.000 3.906
3.906 3.906 0.000
Ba Ru Br
1 4 1
Cartesian
0.000 0.000 0.000
2.933 2.933 2.933
4.879 4.879 2.933
4.879 2.933 4.879
2.933 4.879 4.879
5.859 5.859 5.859
```

formation energy without anion corrections	0.9037	eV/atom



Material: KMgInSi2
Method: DFT, PBE-GGA
State: relaxed

Structure (POSCAR):
```
KMgInSi2
1.0
5.113 0.000 0.000
0.000 5.113 0.000
0.000 0.000 5.569
K Mg In Si
1 1 1 2
Cartesian
0.000 0.000 0.000
2.556 2.556 2.784
2.556 2.556 0.000
0.000 2.556 2.784
2.556 0.000 2.784
```

formation energy without anion corrections	0.5627	eV/atom



Magnetic moment per entry: 7.32; 5.62; 0.00 μB/cell